Entry 1:
Compound: MnPdRh2N
Source: Alexandria
Functional: PBE-GGA
Structure: relaxed

a b c (Å): 4.063 4.063 3.976
angles (deg): 90.00 90.00 90.00
Site moments in Bohr magnetons follow the coordinates.
Positions (direct):
Mn1 0.000 0.000 0.500  3.41
Rh1 0.000 0.500 0.000  0.16
Rh2 0.500 0.000 0.000  0.16
Pd1 0.500 0.500 0.500  0.24
N1 0.000 0.000 0.000  -0.12

Calculated values
Its density of states at the Fermi level is 6.54 states/eV per cell. As for the crystal system: tetragonal. The value obtained for the energy is -7.468 eV per atom. The raw formation energy is 0.010 eV/atom.

Entry 2:
Compound: MnPdRu2N
Source: Alexandria
Functional: PBE-GGA
Structure: relaxed

a b c (Å): 4.020 4.020 3.968
angles (deg): 90.00 90.00 90.00
Site moments in Bohr magnetons follow the coordinates.
Positions (direct):
Ru1 0.000 0.500 0.000  -0.08
Ru2 0.500 0.000 0.000  -0.08
Mn1 0.000 0.000 0.500  3.22
Pd1 0.500 0.500 0.500  0.10
N1 0.000 0.000 0.000  -0.09

Calculated values
Its density of states at the Fermi level is 4.78 states/eV per cell. As for the crystal system: tetragonal. The value obtained for the energy is -8.172 eV per atom. The raw formation energy is 0.076 eV/atom.

Entry 3:
Compound: Mn2PdRuN
Source: Alexandria
Functional: PBE-GGA
Structure: relaxed

a b c (Å): 3.817 3.817 3.985
angles (deg): 90.00 90.00 90.00
Positions (direct):
Ru1 0.000 0.000 0.500
Mn1 0.000 0.500 0.000
Mn2 0.500 0.000 0.000
Pd1 0.500 0.500 0.500
N1 0.000 0.000 0.000

Calculated values
Its density of states at the Fermi level is 6.40 states/eV per cell. As for the crystal system: tetragonal. The value obtained for the energy is -8.168 eV per atom. The raw formation energy is 0.059 eV/atom.

Entry 4:
Compound: MnPdS2N
Source: Alexandria
Functional: PBE-GGA
Structure: relaxed

a b c (Å): 4.837 4.837 3.666
angles (deg): 90.00 90.00 90.00
Site moments in Bohr magnetons follow the coordinates.
Positions (direct):
S1 0.000 0.500 0.000  0.00
S2 0.500 0.000 0.000  0.00
Mn1 0.500 0.500 0.500  0.05
Pd1 0.000 0.000 0.000  0.05
N1 0.000 0.000 0.500  0.15

Calculated values
Its density of states at the Fermi level is 6.62 states/eV per cell. As for the crystal system: tetragonal. The value obtained for the energy is -4.811 eV per atom. The raw formation energy is 1.378 eV/atom. As for the energy relative to the lowest polymorph listed for this composition: 1029.9 meV/atom.